First-principles (PBE) data for a relaxed CaSm9Er2 crystal, as listed in the Alexandria database.

Results
Its space-group type is P4/mmm. The calculation puts the density of states at the Fermi level at 18.32 states/eV/f.u. The calculation puts the energy at -4.427 eV/atom. The crystal system is tetragonal.

abc: 5.1224 5.1224 15.3759
angles: 90.00 90.00 90.00
Last column: nearest neighbours and their distance in Å.
Positions (direct):
Ca (0.0000, 0.0000, 0.0000)  12 Sm 3.62-3.69
Sm (0.0000, 0.5000, 0.1731)  2 Er 3.57, 8 Sm 3.57-3.69, 2 Ca 3.69
Sm (0.0000, 0.5000, 0.5000)  8 Sm 3.61-3.62, 4 Er 3.61
Sm (0.0000, 0.5000, 0.8269)  2 Er 3.57, 8 Sm 3.57-3.69, 2 Ca 3.69
Sm (0.5000, 0.0000, 0.1731)  2 Er 3.57, 8 Sm 3.57-3.69, 2 Ca 3.69
Sm (0.5000, 0.0000, 0.5000)  8 Sm 3.61-3.62, 4 Er 3.61
Sm (0.5000, 0.0000, 0.8269)  2 Er 3.57, 8 Sm 3.57-3.69, 2 Ca 3.69
Sm (0.5000, 0.5000, 0.0000)  4 Ca 3.62, 8 Sm 3.69
Sm (0.5000, 0.5000, 0.3346)  8 Sm 3.57-3.61, 4 Er 3.62
Sm (0.5000, 0.5000, 0.6654)  8 Sm 3.57-3.61, 4 Er 3.62
Er (0.0000, 0.0000, 0.3345)  12 Sm 3.57-3.62
Er (0.0000, 0.0000, 0.6655)  12 Sm 3.57-3.62